(1)
VASP calculation (GGA-PBE) on TaV2Zn after structural relaxation.

```
TaV2Zn
1.0
4.157 0.000 0.000
0.000 4.157 0.000
0.000 0.000 3.427
Ta V Zn
1 2 1
direct
0.000 0.000 0.000 Ta
0.000 0.500 0.500 V
0.500 0.000 0.500 V
0.500 0.500 0.000 Zn
```

(2)
VASP calculation (GGA-PBE) on TaV2Zn after structural relaxation.

```
TaV2Zn
1.0
3.201 0.000 0.000
0.000 3.201 0.000
0.000 0.000 5.840
Ta V Zn
1 2 1
direct
0.000 0.000 0.000 Ta
0.500 0.500 0.253 V
0.500 0.500 0.747 V
0.000 0.000 0.500 Zn
```

no.,ΔE_f (kJ/mol of formula units)
1,24
2,15